VASP calculation (PBE-GGA) on an optimized crystal structure of HoTm3Pb.

```
data_HoTm3Pb
_chemical_formula_sum 'Ho2 Tm6 Pb2'
_symmetry_space_group_name_H-M 'P 1 21/m 1'
_symmetry_Int_Tables_number 11
_cell_length_a 6.617
_cell_length_b 5.366
_cell_length_c 8.461
_cell_angle_alpha 90.00
_cell_angle_beta 103.04
_cell_angle_gamma 90.00
loop_
_symmetry_equiv_pos_as_xyz
'x,y,z'
'-x,-y,-z'
'-x,y+1/2,-z'
'x,-y+1/2,z'
loop_
_atom_site_label
_atom_site_fract_x
_atom_site_fract_y
_atom_site_fract_z
Ho1 0.116 0.250 0.068
Tm1 0.056 0.750 0.352
Tm2 0.386 0.250 0.433
Tm3 0.446 0.750 0.152
Pb1 0.252 0.750 0.752
```

Properties
Excess energy over the best structure of this formula in the dataset (meV/atom): 0
Energy of formation from the pure elements (eV/atom): -0.146